! PBE Sr2MgGa3Pt4, optimized geometry; values from VASP
&SYSTEM
  ibrav = 0, nat = 10, ntyp = 4
/
ATOMIC_SPECIES
Sr 87.62 Sr.upf
Mg 24.30 Mg.upf
Ga 69.72 Ga.upf
Pt 195.08 Pt.upf
CELL_PARAMETERS angstrom
4.382 0.000 0.000
0.000 4.382 0.000
0.000 0.000 10.711
ATOMIC_POSITIONS crystal
Sr 0.000 0.500 0.242
Sr 0.500 0.000 0.758
Mg 0.000 0.000 0.500
Ga 0.000 0.500 0.877
Ga 0.500 0.000 0.123
Ga 0.500 0.500 0.500
Pt 0.000 0.000 0.000
Pt 0.000 0.500 0.639
Pt 0.500 0.000 0.361
Pt 0.500 0.500 0.000
! D(E_F) = 3.564 states/eV/f.u.
! DFT formation energy = -0.869 eV/atom
! Size of the total moment = 0.000 μB per formula unit